Entry P
Below is crystalline Pr13Y2 at its relaxed geometry, with properties calculated at the PBE level.

a = 6.8596 Å, b = 9.2658 Å, c = 9.2667 Å
α = 113.41°, β = 82.44°, γ = 97.65°
Element x y z (fractional)
Pr: 0.7013 0.6287 0.0270
Pr: 0.3962 0.6024 0.4054
Pr: 0.0000 0.0000 0.0000
Pr: 0.6936 0.9616 0.3611
Pr: 0.8068 0.1940 0.7915
Pr: 0.5035 0.1686 0.1647
Pr: 0.4965 0.8314 0.8353
Pr: 0.6038 0.3976 0.5946
Pr: 0.1014 0.5641 0.7668
Pr: 0.2987 0.3713 0.9730
Pr: 0.1932 0.8060 0.2085
Pr: 0.3064 0.0384 0.6389
Pr: 0.8986 0.4359 0.2332
Y: 0.9007 0.7684 0.5697
Y: 0.0993 0.2316 0.4303

Calculated values
- Total magnetic moment: 0.000 μB/cell


Entry Q
Below is crystalline Pr13Y2 at its relaxed geometry, with properties calculated at the PBE level.

a = 7.2938 Å, b = 7.2938 Å, c = 12.6478 Å
α = 73.24°, β = 73.24°, γ = 60.00°
Element x y z (fractional)
Pr: 0.2116 0.7063 0.8704
Pr: 0.0466 0.5424 0.3645
Pr: 0.9534 0.4576 0.6355
Pr: 0.9534 0.9534 0.6355
Pr: 0.0466 0.0466 0.3645
Pr: 0.4576 0.9534 0.6355
Pr: 0.5000 0.5000 0.5000
Pr: 0.2937 0.7884 0.1296
Pr: 0.2116 0.2116 0.8704
Pr: 0.7884 0.2937 0.1296
Pr: 0.7884 0.7884 0.1296
Pr: 0.5424 0.0466 0.3645
Pr: 0.7063 0.2116 0.8704
Y: 0.2941 0.2941 0.1178
Y: 0.7059 0.7059 0.8822

Calculated values
- Total magnetic moment: 0.000 μB/cell


Name the least stable of them. entry Q.


Entry P
Below is crystalline PrY5 at its relaxed geometry, with properties calculated at the PBE level.

a = 3.5968 Å, b = 3.5968 Å, c = 15.2581 Å
α = 90.00°, β = 90.00°, γ = 90.00°
Element x y z (fractional)
Pr: 0.5000 0.5000 0.5000
Y: 0.0000 0.0000 0.0000
Y: 0.5000 0.5000 0.1647
Y: 0.0000 0.0000 0.3299
Y: 0.0000 0.0000 0.6701
Y: 0.5000 0.5000 0.8353

Calculated values
- Total magnetic moment: 0.000 μB/cell


Entry Q
Below is crystalline PrY5 at its relaxed geometry, with properties calculated at the PBE level.

a = 3.8028 Å, b = 5.8128 Å, c = 9.4914 Å
α = 107.83°, β = 90.00°, γ = 90.00°
Element x y z (fractional)
Y: 0.5000 0.0000 0.0000
Y: 0.5000 0.3183 0.6366
Y: 0.0000 0.1549 0.3097
Y: 0.5000 0.6817 0.3634
Y: 0.0000 0.8451 0.6903
Pr: 0.0000 0.5000 0.0000

Calculated values
- Total magnetic moment: 0.000 μB/cell


Name the least stable of them. entry Q.


Entry P
Below is crystalline PrY7 at its relaxed geometry, with properties calculated at the PBE level.

a = 3.5548 Å, b = 8.8511 Å, c = 8.8511 Å
α = 78.94°, β = 78.42°, γ = 78.42°
Element x y z (fractional)
Y: 0.2576 0.2428 0.2428
Y: 0.7424 0.7572 0.7572
Y: 0.6333 0.1368 0.5969
Y: 0.3667 0.8632 0.4031
Y: 0.0000 0.5000 0.5000
Y: 0.3667 0.4031 0.8632
Y: 0.6333 0.5969 0.1368
Pr: 0.0000 0.0000 0.0000

Calculated values
- Total magnetic moment: 0.000 μB/cell


Entry Q
Below is crystalline PrY7 at its relaxed geometry, with properties calculated at the PBE level.

a = 7.1687 Å, b = 7.1687 Å, c = 7.1687 Å
α = 60.00°, β = 60.00°, γ = 60.00°
Element x y z (fractional)
Y: 0.0000 0.5000 0.0000
Y: 0.5000 0.0000 0.5000
Y: 0.0000 0.0000 0.5000
Y: 0.0000 0.5000 0.5000
Y: 0.5000 0.5000 0.5000
Y: 0.5000 0.0000 0.0000
Y: 0.5000 0.5000 0.0000
Pr: 0.0000 0.0000 0.0000

Calculated values
- Total magnetic moment: 0.000 μB/cell


Name the least stable of them. entry P.


Entry P
Below is crystalline Pr3Y13 at its relaxed geometry, with properties calculated at the PBE level.

a = 7.2009 Å, b = 7.2009 Å, c = 10.1482 Å
α = 90.00°, β = 90.00°, γ = 90.16°
Element x y z (fractional)
Pr: 0.0006 0.9994 0.7499
Pr: 0.7486 0.2514 0.0000
Pr: 0.0006 0.9994 0.2501
Y: 0.0003 0.5005 0.2510
Y: 0.7488 0.2512 0.5000
Y: 0.4995 0.9997 0.7490
Y: 0.7493 0.7487 0.5000
Y: 0.7485 0.7488 0.0000
Y: 0.4995 0.9997 0.2510
Y: 0.2513 0.7487 0.0000
Y: 0.0003 0.5005 0.7490
Y: 0.4992 0.5008 0.2515
Y: 0.2513 0.2507 0.5000
Y: 0.2512 0.2515 0.0000
Y: 0.4992 0.5008 0.7485
Y: 0.2517 0.7483 0.5000

Calculated values
- Total magnetic moment: 0.000 μB/cell


Entry Q
Below is crystalline Pr3Y13 at its relaxed geometry, with properties calculated at the PBE level.

a = 7.3530 Å, b = 8.5515 Å, c = 8.5515 Å
α = 95.95°, β = 90.00°, γ = 90.00°
Element x y z (fractional)
Y: 0.0000 0.7899 0.2101
Y: 0.7493 0.4613 0.0440
Y: 0.5000 0.7063 0.7883
Y: 0.5000 0.7900 0.2100
Y: 0.7493 0.9560 0.5387
Y: 0.2507 0.9560 0.5387
Y: 0.2507 0.4613 0.0440
Y: 0.0000 0.7068 0.7904
Y: 0.0000 0.2096 0.2932
Y: 0.2502 0.5425 0.4575
Y: 0.5000 0.2117 0.2937
Y: 0.5000 0.2932 0.7068
Y: 0.7498 0.5425 0.4575
Pr: 0.0000 0.2925 0.7075
Pr: 0.7483 0.0402 0.9598
Pr: 0.2517 0.0402 0.9598

Calculated values
- Total magnetic moment: 0.000 μB/cell


Name the least stable of them. entry P.


Entry P
Below is crystalline Pr7Y3 at its relaxed geometry, with properties calculated at the PBE level.

a = 5.2026 Å, b = 7.3263 Å, c = 10.9809 Å
α = 119.71°, β = 103.70°, γ = 90.00°
Element x y z (fractional)
Pr: 0.8000 0.7001 0.6001
Pr: 0.6009 0.9003 0.2019
Pr: 0.5997 0.4006 0.1995
Pr: 0.4003 0.5994 0.8005
Pr: 0.3991 0.0997 0.7981
Pr: 0.2000 0.2999 0.3999
Pr: 0.0000 0.5000 0.0000
Y: 0.0000 0.0000 0.0000
Y: 0.7991 0.1984 0.5981
Y: 0.2009 0.8016 0.4019

Calculated values
- Total magnetic moment: 0.000 μB/cell


Entry Q
Below is crystalline Pr7Y3 at its relaxed geometry, with properties calculated at the PBE level.

a = 5.8386 Å, b = 11.8849 Å, c = 11.8849 Å
α = 120.00°, β = 90.00°, γ = 90.00°
Element x y z (fractional)
Pr: 0.3413 0.1149 0.2299
Pr: 0.8413 0.8851 0.1149
Pr: 0.8399 0.5246 0.0491
Pr: 0.8413 0.2299 0.1149
Pr: 0.3413 0.3333 0.6667
Pr: 0.3399 0.4754 0.9509
Pr: 0.8413 0.8851 0.7701
Pr: 0.8413 0.6667 0.3333
Pr: 0.3399 0.0491 0.5246
Pr: 0.3399 0.4754 0.5246
Pr: 0.8399 0.9509 0.4754
Pr: 0.3413 0.1149 0.8851
Pr: 0.8399 0.5246 0.4754
Pr: 0.3413 0.7701 0.8851
Y: 0.3411 0.4469 0.2234
Y: 0.3411 0.7766 0.2234
Y: 0.8411 0.2234 0.4469
Y: 0.8411 0.5531 0.7766
Y: 0.3411 0.7766 0.5531
Y: 0.8411 0.2234 0.7766

Calculated values
- Total magnetic moment: 0.000 μB/cell


Name the least stable of them. entry Q.


Entry P
Below is crystalline PrY4Zn at its relaxed geometry, with properties calculated at the PBE level.

a = 6.2412 Å, b = 9.0410 Å, c = 8.2247 Å
α = 114.35°, β = 100.40°, γ = 111.22°
Element x y z (fractional)
Y: 0.2699 0.6262 0.8084
Y: 0.2248 0.2858 0.3621
Y: 0.7752 0.7142 0.6379
Y: 0.7301 0.3738 0.1916
Y: 0.6373 0.0763 0.3621
Y: 0.9615 0.8178 0.1916
Y: 0.3627 0.9237 0.6379
Y: 0.0385 0.1822 0.8084
Zn: 0.7512 0.0012 0.0025
Zn: 0.2488 0.9988 0.9975
Pr: 0.6360 0.3860 0.7720
Pr: 0.3640 0.6140 0.2280

Calculated values
- Total magnetic moment: 0.000 μB/cell


Entry Q
Below is crystalline PrY4Zn at its relaxed geometry, with properties calculated at the PBE level.

a = 3.6011 Å, b = 3.6011 Å, c = 13.8857 Å
α = 90.00°, β = 90.00°, γ = 90.00°
Element x y z (fractional)
Y: 0.0000 0.0000 0.3736
Y: 0.5000 0.5000 0.1867
Y: 0.5000 0.5000 0.8133
Y: 0.0000 0.0000 0.6264
Zn: 0.5000 0.5000 0.5000
Pr: 0.0000 0.0000 0.0000

Calculated values
- Total magnetic moment: 0.000 μB/cell


Name the least stable of them. entry P.


Entry P
Below is crystalline PrYZn at its relaxed geometry, with properties calculated at the PBE level.

a = 3.6618 Å, b = 3.6618 Å, c = 6.7514 Å
α = 105.73°, β = 105.73°, γ = 90.00°
Element x y z (fractional)
Y: 0.3059 0.3059 0.6118
Zn: 0.6748 0.6748 0.3495
Pr: 0.0193 0.0193 0.0386

Calculated values
- Total magnetic moment: 0.018 μB/cell


Entry Q
Below is crystalline PrYZn at its relaxed geometry, with properties calculated at the PBE level.

a = 4.8213 Å, b = 4.8213 Å, c = 7.4241 Å
α = 90.00°, β = 90.00°, γ = 90.00°
Element x y z (fractional)
Zn: 0.0000 0.5000 0.7639
Zn: 0.5000 0.0000 0.2361
Y: 0.0000 0.0000 0.0000
Y: 0.5000 0.5000 0.0000
Pr: 0.0000 0.5000 0.3737
Pr: 0.5000 0.0000 0.6263

Calculated values
- Total magnetic moment: 0.000 μB/cell


Entry R
Below is crystalline PrYZn at its relaxed geometry, with properties calculated at the PBE level.

a = 3.8461 Å, b = 5.0382 Å, c = 5.0382 Å
α = 120.00°, β = 90.00°, γ = 90.00°
Element x y z (fractional)
Pr: 0.6293 0.6667 0.3333
Y: 0.0894 0.0000 0.0000
Zn: 0.2813 0.3333 0.6667

Calculated values
- Total magnetic moment: 0.000 μB/cell


Name the least stable of them. entry R.


Entry P
Below is crystalline Pr2YZn at its relaxed geometry, with properties calculated at the PBE level.

a = 3.7030 Å, b = 3.7030 Å, c = 10.7913 Å
α = 80.12°, β = 80.12°, γ = 60.00°
Element x y z (fractional)
Y: 0.4999 0.4999 0.5004
Pr: 0.2604 0.2604 0.2189
Pr: 0.0732 0.0732 0.7804
Zn: 0.6666 0.6666 0.0003

Calculated values
- Total magnetic moment: 0.001 μB/cell


Entry Q
Below is crystalline Pr2YZn at its relaxed geometry, with properties calculated at the PBE level.

a = 5.1919 Å, b = 5.1919 Å, c = 9.5374 Å
α = 105.79°, β = 105.79°, γ = 90.00°
Element x y z (fractional)
Pr: 0.6445 0.6445 0.2891
Pr: 0.3555 0.3555 0.7109
Pr: 0.0000 0.5000 0.0000
Pr: 0.5000 0.0000 0.0000
Zn: 0.2500 0.7500 0.5000
Zn: 0.7500 0.2500 0.5000
Y: 0.1512 0.1512 0.3024
Y: 0.8488 0.8488 0.6976

Calculated values
- Total magnetic moment: 0.000 μB/cell


Name the least stable of them. entry P.


Entry P
Below is crystalline Pr2YZn at its relaxed geometry, with properties calculated at the PBE level.

a = 3.7031 Å, b = 3.7031 Å, c = 8.8090 Å
α = 90.00°, β = 90.00°, γ = 90.00°
Element x y z (fractional)
Zn: 0.5000 0.5000 0.0000
Pr: 0.0000 0.0000 0.2100
Pr: 0.0000 0.0000 0.7900
Y: 0.5000 0.5000 0.5000

Calculated values
- Total magnetic moment: 0.000 μB/cell


Entry Q
Below is crystalline Pr2YZn at its relaxed geometry, with properties calculated at the PBE level.

a = 3.6781 Å, b = 3.6781 Å, c = 10.8587 Å
α = 80.25°, β = 80.25°, γ = 60.00°
Element x y z (fractional)
Pr: 0.7400 0.7400 0.7799
Pr: 0.2600 0.2600 0.2201
Y: 0.5000 0.5000 0.5000
Zn: 0.0000 0.0000 0.0000

Calculated values
- Total magnetic moment: 0.000 μB/cell


Name the least stable of them. entry Q.


Entry P
Below is crystalline Pr3YZn2 at its relaxed geometry, with properties calculated at the PBE level.

a = 5.2433 Å, b = 6.8303 Å, c = 9.4735 Å
α = 90.00°, β = 90.00°, γ = 90.00°
Element x y z (fractional)
Y: 0.5000 0.0122 0.4442
Y: 0.5000 0.5122 0.5558
Pr: 0.5000 0.6684 0.1747
Pr: 0.5000 0.1684 0.8253
Pr: 0.0000 0.9940 0.0574
Pr: 0.0000 0.4940 0.9426
Pr: 0.0000 0.8251 0.6665
Pr: 0.0000 0.3251 0.3335
Zn: 0.0000 0.2846 0.6504
Zn: 0.0000 0.7846 0.3496
Zn: 0.5000 0.2156 0.1568
Zn: 0.5000 0.7156 0.8432

Calculated values
- Total magnetic moment: 0.000 μB/cell


Entry Q
Below is crystalline Pr3YZn2 at its relaxed geometry, with properties calculated at the PBE level.

a = 7.0512 Å, b = 7.3535 Å, c = 9.0147 Å
α = 114.07°, β = 113.02°, γ = 90.00°
Element x y z (fractional)
Y: 0.0000 0.0000 0.0000
Y: 0.0000 0.5000 0.0000
Zn: 0.5691 0.3638 0.7276
Zn: 0.4309 0.6362 0.2724
Zn: 0.8416 0.1362 0.2724
Zn: 0.1584 0.8638 0.7276
Pr: 0.2258 0.9758 0.4515
Pr: 0.5000 0.7500 0.0000
Pr: 0.7742 0.5242 0.5485
Pr: 0.7742 0.0242 0.5485
Pr: 0.2258 0.4758 0.4515
Pr: 0.5000 0.2500 0.0000

Calculated values
- Total magnetic moment: 0.000 μB/cell


Name the least stable of them. entry Q.


Entry P
Below is crystalline Pr2YZr at its relaxed geometry, with properties calculated at the PBE level.

a = 3.5339 Å, b = 3.5339 Å, c = 11.7059 Å
α = 81.32°, β = 81.32°, γ = 60.00°
Element x y z (fractional)
Zr: 0.6674 0.6674 0.9979
Y: 0.4989 0.4989 0.5032
Pr: 0.0785 0.0785 0.7644
Pr: 0.2552 0.2552 0.2345

Calculated values
- Total magnetic moment: 0.000 μB/cell


Entry Q
Below is crystalline Pr2YZr at its relaxed geometry, with properties calculated at the PBE level.

a = 5.5830 Å, b = 5.5830 Å, c = 5.5830 Å
α = 60.00°, β = 60.00°, γ = 60.00°
Element x y z (fractional)
Y: 0.5000 0.5000 0.5000
Pr: 0.7500 0.7500 0.7500
Pr: 0.2500 0.2500 0.2500
Zr: 0.0000 0.0000 0.0000

Calculated values
- Total magnetic moment: 0.625 μB/cell


Entry R
Below is crystalline Pr2YZr at its relaxed geometry, with properties calculated at the PBE level.

a = 4.1009 Å, b = 4.1009 Å, c = 7.4139 Å
α = 90.00°, β = 90.00°, γ = 90.00°
Element x y z (fractional)
Pr: 0.0000 0.0000 0.7754
Pr: 0.0000 0.0000 0.2246
Y: 0.5000 0.5000 0.5000
Zr: 0.5000 0.5000 0.0000

Calculated values
- Total magnetic moment: 0.000 μB/cell


Name the least stable of them. entry Q.